[1]
First-principles (PBE) data for a relaxed structure of CeCo4Si2, as listed in Alexandria via LeMat-Bulk.

Summary:
E_form (uncorrected), meV per atom: -358
VASP energy, eV per cell: -47.708

Lattice parameters (Å, degrees): 3.6111 3.6111 8.0587 102.95 102.95 90.00
Last column: nearest neighbours and their distance in Å.
Fractional positions:
Ce 0.0000 0.0000 0.0000  2 Co 2.13
Co 0.1392 0.1392 0.2784  1 Ce 2.13
Co 0.8608 0.8608 0.7216  1 Ce 2.13
Co 0.2500 0.7500 0.5000  4 Si 2.33, 8 Co 2.48-2.55
Co 0.7500 0.2500 0.5000  4 Si 2.33, 8 Co 2.48-2.55
Si 0.6533 0.6533 0.3067  8 Co 2.33-2.56
Si 0.3467 0.3467 0.6933  8 Co 2.33-2.56

---

[2]
First-principles (PBE) data for a relaxed structure of Zn2InFe2, as listed in Alexandria via LeMat-Bulk.

Summary:
Formation energy from the elements, eV per atom: 0.203
VASP energy, eV per cell: -42.392

Lattice parameters (Å, degrees): 6.9914 6.9914 3.1048 90.00 90.00 90.00
Last column: nearest neighbours and their distance in Å.
Fractional positions:
Zn 0.1726 0.6726 0.5000  6 Fe 2.58-2.59
Zn 0.6726 0.8274 0.5000  6 Fe 2.58-2.59
Zn 0.8274 0.3274 0.5000  6 Fe 2.58-2.59
Zn 0.3274 0.1726 0.5000  6 Fe 2.58-2.59
Fe 0.3812 0.8812 0.0000  1 Fe 2.35, 6 Zn 2.58-2.59
Fe 0.8812 0.6188 0.0000  1 Fe 2.35, 6 Zn 2.58-2.59
Fe 0.6188 0.1188 0.0000  1 Fe 2.35, 6 Zn 2.58-2.59
Fe 0.1188 0.3812 0.0000  1 Fe 2.35, 6 Zn 2.58-2.59
In 0.0000 0.0000 0.0000  4 Fe 2.79, 8 Zn 3.02, 2 In 3.10
In 0.5000 0.5000 0.0000  4 Fe 2.79, 8 Zn 3.02, 2 In 3.10

---

> What is the VASP energy in the second record?

-42.392 eV per cell

---

> Look up the VASP energy of the first one.

-47.708 eV per cell

---

> VASP energy of number 1 (CeCo4Si2)?

-47.708 eV per cell

---

> Among the records above, which one has the lowest VASP energy?

CeCo4Si2